Record 1
Density functional theory data (PBE) for a relaxed structure of ThNi2Ru.

Computed properties:
* D(E_F): 1.581 states/eV per atom
* energy relative to the elements: -251 meV per atom
* space group: P4/mmm, No. 123
* total energy: -7.32 eV/atom
* total magnetic moment: 0.000 μB per atom

Lattice parameters (Å, degrees): 3.9809 4.0236 4.0236 90.00 90.00 90.00
Closest atoms and distances in Å follow each position.
Sites, in units of the cell vectors:
Ru: 0.5000 0.0000 0.0000  8 Ni 2.83, 4 Th 2.85
Th: 0.5000 0.5000 0.5000  8 Ni 2.83, 4 Ru 2.85
Ni: 0.0000 0.0000 0.5000  4 Th 2.83, 4 Ru 2.83, 4 Ni 2.85
Ni: 0.0000 0.5000 0.0000  4 Th 2.83, 4 Ru 2.83, 4 Ni 2.85

---

Record 2
Density functional theory data (PBE) for a relaxed structure of ThNiRu.

Computed properties:
* D(E_F): 0.199 states/eV per atom
* energy relative to the elements: -366 meV per atom
* space group: P6_3/mmc, No. 194
* total energy: -7.86 eV/atom
* total magnetic moment: 0.000 μB per atom

Lattice parameters (Å, degrees): 4.1811 4.1811 7.7499 90.00 90.00 119.93
Closest atoms and distances in Å follow each position.
Sites, in units of the cell vectors:
Th: 0.0000 0.5000 0.5000  6 Ru 3.09-3.10, 6 Ni 3.10
Th: 0.0000 0.5000 0.0000  6 Ru 3.09-3.10, 6 Ni 3.10
Ni: 0.3339 0.1661 0.7500  3 Ru 2.41-2.42
Ni: 0.6661 0.8339 0.2500  3 Ru 2.41-2.42
Ru: 0.3326 0.1674 0.2500  3 Ni 2.41-2.42
Ru: 0.6674 0.8326 0.7500  3 Ni 2.41-2.42

---

Record 3
Density functional theory data (PBE) for a relaxed structure of Th2NiRu.

Computed properties:
* D(E_F): 1.187 states/eV per atom
* energy relative to the elements: -305 meV per atom
* space group: P4/mmm, No. 123
* total energy: -7.78 eV/atom
* total magnetic moment: 0.000 μB per atom

Lattice parameters (Å, degrees): 3.5542 4.9723 4.9723 90.00 90.00 90.00
Closest atoms and distances in Å follow each position.
Sites, in units of the cell vectors:
Ru: 0.5000 0.5000 0.5000  8 Th 3.06
Th: 0.0000 0.0000 0.5000  4 Ru 3.06, 4 Ni 3.06
Th: 0.0000 0.5000 0.0000  4 Ru 3.06, 4 Ni 3.06
Ni: 0.5000 0.0000 0.0000  8 Th 3.06